(1)
Compound: PmPtRh
Source: Alexandria via LeMat-Bulk
Functional: PBE-GGA
Structure: optimized geometry

Calculated values
E_form (meV/atom): -801
Spin magnetization (Bohr magnetons per cell): 0.000
D(E_F) (states/eV/atom): 0.5007
Calculated volume (Å³ per atom): 21.4
Symmetry: P6_3/mmc
Total DFT energy (no corrections) (eV per atom): -6.85
Polymorph energy (0 for the lowest one) (eV/atom): 0.094

a b c (Å): 4.3761 4.3761 7.7444
angles (deg): 90.00 90.00 120.00
Positions (direct):
Pm1 0.5000 0.0000 0.5000
Pm2 0.5000 0.0000 0.0000
Pt1 0.1666 0.3332 0.2500
Pt2 0.8334 0.6668 0.7500
Rh1 0.1667 0.3334 0.7500
Rh2 0.8333 0.6666 0.2500

=====

(2)
Compound: Pm4Pt3Rh
Source: Alexandria via LeMat-Bulk
Functional: PBE-GGA
Structure: optimized geometry

Calculated values
E_form (meV/atom): -932
Spin magnetization (Bohr magnetons per cell): 0.000
D(E_F) (states/eV/atom): 0.5504
Calculated volume (Å³ per atom): 25.2
Symmetry: Pm-3m
Total DFT energy (no corrections) (eV per atom): -6.49
Polymorph energy (0 for the lowest one) (eV/atom): 0.135

a b c (Å): 5.8644 5.8644 5.8644
angles (deg): 90.00 90.00 90.00
Positions (direct):
Pm1 0.5000 0.0000 0.0000
Pm2 0.0000 0.5000 0.0000
Pm3 0.0000 0.0000 0.5000
Pm4 0.5000 0.5000 0.5000
Pt1 0.0000 0.5000 0.5000
Pt2 0.5000 0.0000 0.5000
Pt3 0.5000 0.5000 0.0000
Rh1 0.0000 0.0000 0.0000

=====

(3)
Compound: Pm4PtRh2
Source: Alexandria via LeMat-Bulk
Functional: PBE-GGA
Structure: optimized geometry

Calculated values
E_form (meV/atom): -789
Spin magnetization (Bohr magnetons per cell): 0.000
D(E_F) (states/eV/atom): 0.2501
Calculated volume (Å³ per atom): 24.9
Symmetry: I-42d
Total DFT energy (no corrections) (eV per atom): -6.47

a b c (Å): 7.6755 7.6755 7.6755
angles (deg): 109.23 109.95 109.23
Positions (direct):
Pm1 0.1305 0.8721 0.3786
Pm2 0.6214 0.7519 0.4935
Pm3 0.0084 0.6279 0.7565
Pm4 0.2435 0.2519 0.8714
Pm5 0.6195 0.7481 0.9916
Pm6 0.7416 0.2481 0.8695
Pm7 0.5065 0.1279 0.2584
Pm8 0.1286 0.3721 0.3805
Pt1 0.0000 0.0000 0.0000
Pt2 0.7500 0.5000 0.2500
Rh1 0.8750 0.1229 0.4979
Rh2 0.5021 0.3771 0.6250
Rh3 0.3750 0.8771 0.7521
Rh4 0.2479 0.6229 0.1250

=====

(4)
Compound: Pm6PtRh5
Source: Alexandria via LeMat-Bulk
Functional: PBE-GGA
Structure: optimized geometry

Calculated values
E_form (meV/atom): -758
Spin magnetization (Bohr magnetons per cell): 0.000
D(E_F) (states/eV/atom): 0.5442
Calculated volume (Å³ per atom): 22.0
Symmetry: P2/m
Total DFT energy (no corrections) (eV per atom): -6.70
Polymorph energy (0 for the lowest one) (eV/atom): 0.000

a b c (Å): 4.9771 7.1001 7.8723
angles (deg): 90.00 108.61 90.00
Positions (direct):
Rh1 0.6644 0.5000 0.3312
Rh2 0.3321 0.0000 0.6614
Rh3 0.0000 0.5000 0.0000
Rh4 0.6679 0.0000 0.3386
Rh5 0.3356 0.5000 0.6688
Pt1 0.0000 0.0000 0.0000
Pm1 0.8331 0.7494 0.6651
Pm2 0.8331 0.2506 0.6651
Pm3 0.5000 0.2517 0.0000
Pm4 0.5000 0.7483 0.0000
Pm5 0.1669 0.7494 0.3349
Pm6 0.1669 0.2506 0.3349

=====

(5)
Compound: PmPtRh2
Source: Alexandria via LeMat-Bulk
Functional: PBE-GGA
Structure: optimized geometry

Calculated values
E_form (meV/atom): -556
Spin magnetization (Bohr magnetons per cell): 0.000
D(E_F) (states/eV/atom): 0.9767
Calculated volume (Å³ per atom): 17.6
Symmetry: P4/mmm
Total DFT energy (no corrections) (eV per atom): -6.93
Polymorph energy (0 for the lowest one) (eV/atom): 0.000

a b c (Å): 4.0507 4.1678 4.1678
angles (deg): 90.00 90.00 90.00
Positions (direct):
Rh1 0.0000 0.0000 0.5000
Rh2 0.0000 0.5000 0.0000
Pt1 0.5000 0.0000 0.0000
Pm1 0.5000 0.5000 0.5000

=====

(6)
Compound: Pm8PtRh2
Source: Alexandria via LeMat-Bulk
Functional: PBE-GGA
Structure: optimized geometry

Calculated values
E_form (meV/atom): -423
Spin magnetization (Bohr magnetons per cell): 0.000
D(E_F) (states/eV/atom): 0.9871
Calculated volume (Å³ per atom): 29.3
Symmetry: Cm
Total DFT energy (no corrections) (eV per atom): -5.76
Polymorph energy (0 for the lowest one) (eV/atom): 0.058

a b c (Å): 6.3584 7.6588 7.6588
angles (deg): 113.32 100.72 100.72
Positions (direct):
Pm1 0.5902 0.3493 0.0844
Pm2 0.5902 0.0844 0.3493
Pm3 0.1733 0.3623 0.3623
Pm4 0.9818 0.2073 0.7918
Pm5 0.9818 0.7918 0.2073
Pm6 0.7969 0.6469 0.6469
Pm7 0.3662 0.9207 0.6546
Pm8 0.3662 0.6546 0.9207
Pt1 0.1789 0.0076 0.0076
Rh1 0.4871 0.6911 0.3181
Rh2 0.4871 0.3181 0.6911

=====

(7)
Compound: Pm6Pt5Rh
Source: Alexandria via LeMat-Bulk
Functional: PBE-GGA
Structure: optimized geometry

Calculated values
E_form (meV/atom): -1019
Spin magnetization (Bohr magnetons per cell): 0.000
D(E_F) (states/eV/atom): 0.6315
Calculated volume (Å³ per atom): 22.8
Symmetry: C2/m
Total DFT energy (no corrections) (eV per atom): -6.52

a b c (Å): 5.0740 7.0866 8.7786
angles (deg): 66.20 73.06 90.00
Positions (direct):
Rh1 0.0000 0.0000 0.0000
Pt1 0.6636 0.1636 0.6728
Pt2 0.3321 0.3324 0.3353
Pt3 0.0000 0.5000 0.0000
Pt4 0.6679 0.6676 0.6647
Pt5 0.3364 0.8364 0.3272
Pm1 0.8342 0.5850 0.3314
Pm2 0.8342 0.0836 0.3313
Pm3 0.5000 0.7511 0.0000
Pm4 0.5000 0.2489 0.0000
Pm5 0.1658 0.9164 0.6687
Pm6 0.1658 0.4150 0.6686

=====

(8)
Compound: Pm5PtRh2
Source: Alexandria via LeMat-Bulk
Functional: PBE-GGA
Structure: optimized geometry

Calculated values
E_form (meV/atom): -698
Spin magnetization (Bohr magnetons per cell): 0.000
D(E_F) (states/eV/atom): 1.0340
Calculated volume (Å³ per atom): 25.5
Symmetry: I4/mcm
Total DFT energy (no corrections) (eV per atom): -6.26

a b c (Å): 7.6535 7.6535 8.8238
angles (deg): 115.70 115.70 90.00
Positions (direct):
Pm1 0.5281 0.6889 0.7171
Pm2 0.8111 0.9719 0.2829
Pm3 0.0000 0.0000 0.0000
Pm4 0.5000 0.5000 0.0000
Pm5 0.1889 0.0281 0.7171
Pm6 0.6889 0.1889 0.7171
Pm7 0.0281 0.5281 0.7171
Pm8 0.3111 0.8111 0.2829
Pm9 0.9719 0.4719 0.2829
Pm10 0.4719 0.3111 0.2829
Pt1 0.7500 0.7500 0.5000
Pt2 0.2500 0.2500 0.5000
Rh1 0.1320 0.3680 0.0000
Rh2 0.6320 0.1320 0.0000
Rh3 0.3680 0.8680 0.0000
Rh4 0.8680 0.6320 0.0000